VASP calculation (PBE-GGA) on a relaxed structure of LaMn2Fe. Values from VASP.

Computed properties:
DFT formation energy	0.4427	eV/atom
density	7.01	g/cm3
energy above the lowest structure with this stoichiometry	0.2388	eV per atom
space group	No. 71
M_tot	2.266	μB per atom

```
&SYSTEM
  ibrav = 0, nat = 8, ntyp = 3
/
ATOMIC_SPECIES
La 138.91 La.upf
Mn 54.94 Mn.upf
Fe 55.84 Fe.upf
CELL_PARAMETERS angstrom
3.339 0.000 0.000
0.000 4.550 0.000
0.000 0.000 9.499
ATOMIC_POSITIONS angstrom
La 0.000 0.000 0.000
La 1.670 2.275 4.749
Mn 0.000 2.275 2.082
Mn 0.000 2.275 7.416
Mn 1.670 0.000 2.667
Mn 1.670 0.000 6.832
Fe 0.000 0.000 4.749
Fe 1.670 2.275 0.000
```